(1)
{"formula": "HoAlZn2", "functional": "GGA-PBE", "state": "relaxed", "delta_e_f_ev_per_atom": -0.28, "volume_a3_per_atom": 19.4, "m_tot_mub_per_fu": 0.000, "lattice": [[2.150, 1.241, 4.846], [-2.150, 1.241, 4.846], [0.000, -2.483, 4.846]], "species": ["Ho", "Al", "Zn", "Zn"], "frac_coords": [[0.000, 0.000, 0.000], [0.500, 0.500, 0.500], [0.218, 0.218, 0.218], [0.782, 0.782, 0.782]]}

(2)
{"formula": "Ca2ZnRe", "functional": "GGA-PBE", "state": "relaxed", "delta_e_f_ev_per_atom": 0.71, "volume_a3_per_atom": 22.6, "m_tot_mub_per_fu": 0.396, "lattice": [[4.674, -1.433, 0.000], [4.674, 1.433, 0.000], [-0.598, 0.000, 6.752]], "species": ["Ca", "Ca", "Zn", "Re"], "frac_coords": [[0.247, 0.247, 0.236], [0.753, 0.753, 0.764], [0.000, 0.000, 0.500], [0.500, 0.500, 0.000]]}

(3)
{"formula": "HfTlTe2F", "functional": "GGA-PBE", "state": "relaxed", "volume_a3_per_atom": 27.5, "m_tot_mub_per_fu": 0.000, "e_form_raw_ev_per_fu": -6.46, "lattice": [[5.717, 0.000, 0.000], [0.000, 5.717, 0.000], [0.000, 0.000, 4.202]], "species": ["Hf", "Tl", "Te", "Te", "F"], "frac_coords": [[0.000, 0.000, 0.000], [0.500, 0.500, 0.500], [0.000, 0.500, 0.000], [0.500, 0.000, 0.000], [0.000, 0.000, 0.500]]}

(4)
{"formula": "Ac6MgIn2", "functional": "GGA-PBE", "state": "relaxed", "delta_e_f_ev_per_atom": 0.00, "volume_a3_per_atom": 42.8, "m_tot_mub_per_fu": 0.000, "lattice": [[-2.829, 4.009, 8.482], [2.829, -4.009, 8.482], [2.829, 4.009, -8.482]], "species": ["Ac", "Ac", "Ac", "Ac", "Ac", "Ac", "Mg", "In", "In"], "frac_coords": [[0.082, 0.333, 0.749], [0.248, 0.000, 0.248], [0.416, 0.667, 0.749], [0.584, 0.333, 0.251], [0.752, 0.000, 0.752], [0.918, 0.667, 0.251], [0.500, 0.500, 0.000], [0.167, 0.167, 0.000], [0.833, 0.833, 0.000]]}

(5)
{"formula": "CrCoSi2", "functional": "GGA-PBE", "state": "relaxed", "volume_a3_per_atom": 11.1, "m_tot_mub_per_fu": 0.000, "e_form_raw_ev_per_fu": -1.14, "lattice": [[0.000, 2.814, 2.814], [2.814, 0.000, 2.814], [2.814, 2.814, 0.000]], "species": ["Cr", "Co", "Si", "Si"], "frac_coords": [[0.000, 0.000, 0.000], [0.500, 0.500, 0.500], [0.250, 0.250, 0.250], [0.750, 0.750, 0.750]]}

(6)
{"formula": "HfMn4Co", "functional": "GGA-PBE", "state": "relaxed", "delta_e_f_ev_per_atom": 0.02, "volume_a3_per_atom": 12.6, "m_tot_mub_per_fu": 1.567, "lattice": [[0.000, 3.358, 3.358], [3.358, 0.000, 3.358], [3.358, 3.358, 0.000]], "species": ["Hf", "Mn", "Mn", "Mn", "Mn", "Co"], "frac_coords": [[0.000, 0.000, 0.000], [0.127, 0.624, 0.624], [0.624, 0.127, 0.624], [0.624, 0.624, 0.127], [0.624, 0.624, 0.624], [0.250, 0.250, 0.250]]}